Below is a geometry-optimized InMo2Cl structure, with properties calculated at the GGA-PBE level.

a = 3.238 Å, b = 4.839 Å, c = 11.445 Å
α = 90.00°, β = 90.00°, γ = 90.00°
Fractional positions:
In (0.000, 0.000, 0.000)
In (0.500, 0.500, 0.500)
Mo (0.000, 0.000, 0.525)
Mo (0.000, 0.500, 0.872)
Mo (0.500, 0.000, 0.372)
Mo (0.500, 0.500, 0.025)
Cl (0.000, 0.500, 0.228)
Cl (0.500, 0.000, 0.728)

Results
M_tot ... 0.000 μB/f.u.
SG ... Imm2
Formation energy from raw total energies ... 1.6 eV per formula unit